Compound: Cd2TcOs2
Source: Alexandria
Functional: PBE-GGA
Structure: optimized geometry

Values from the calculation:
calculated volume: 18.274 Å³ per atom
excess energy over the best structure of this formula in the dataset: 2.580 eV/f.u.
symmetry: I4/mmm, No. 139
energy of formation from the pure elements: 1.221 eV per atom

a b c (Å): 3.5976 3.5976 7.5038
angles (deg): 76.13 76.13 90.00
Last column: magnetic moment on the atom in μB.
Positions (direct):
Os 0.5868 0.5868 0.8264  0.30
Os 0.4132 0.4132 0.1736  0.30
Tc 0.0000 0.0000 0.0000  1.18
Cd 0.7500 0.2500 0.5000  0.00
Cd 0.2500 0.7500 0.5000  0.00